# Pm3Er2Tm7

Crystalline Pm3Er2Tm7 at its relaxed geometry (PBE, the Alexandria database).

It has space group P2/m (No. 10), with a = 5.7574 Å, b = 3.5331 Å, c = 18.6128 Å, α = 90.00°, β = 93.05° and γ = 90.00°. Symmetry generates all atoms from Pm at (0.0000, 0.0000, 0.0000), Pm at (0.2776, 0.5000, 0.6331), Er at (0.2100, 0.0000, 0.2917), Tm at (0.1908, 0.5000, 0.1433), Tm at (0.2428, 0.0000, 0.4619), Tm at (0.3064, 0.0000, 0.8246) and Tm at (0.5000, 0.5000, 0.0000).

Its calculated density is 8.57 Mg/m³. As for the formation energy: 0.091 eV/atom.

***

# Pm7Er2Tm2

Crystalline Pm7Er2Tm2 at its relaxed geometry (PBE, the Alexandria database).

It has space group Imm2 (No. 44), with a = 3.5832 Å, b = 18.1069 Å, c = 11.5094 Å, α = 90.00°, β = 90.00° and γ = 90.00°. Symmetry generates all atoms from Pm at (0.0000, 0.0000, 0.0000), Pm at (0.0000, 0.1183, 0.5475), Pm at (0.0000, 0.3300, 0.3067), Pm at (0.0000, 0.3380, 0.7876), Er at (0.0000, 0.0000, 0.3097), Er at (0.0000, 0.5000, 0.2252) and Tm at (0.0000, 0.2142, 0.0496).

Its calculated density is 7.50 Mg/m³. As for the formation energy: 0.175 eV/atom.

***

# PmEr6Tm8

Crystalline PmEr6Tm8 at its relaxed geometry (PBE, the Alexandria database).

It has space group P-3 (No. 147), with a = 9.3209 Å, b = 9.3209 Å, c = 6.3946 Å, α = 90.00°, β = 90.00° and γ = 120.00°. Symmetry generates all atoms from Pm at (0.0000, 0.0000, 0.0000), Er at (0.1008, 0.4190, 0.9121), Tm at (0.0249, 0.6857, 0.5916) and Tm at (0.3333, 0.6667, 0.3370).

Its calculated density is 8.63 Mg/m³. As for the formation energy: 0.237 eV/atom.

***

# PmEr6Tm2

Crystalline PmEr6Tm2 at its relaxed geometry (PBE, the Alexandria database).

It has space group C2/m (No. 12), with a = 28.8079 Å, b = 5.5566 Å, c = 3.4551 Å, α = 90.00°, β = 90.02° and γ = 90.00°. Symmetry generates all atoms from Pm at (0.0000, 0.0000, 0.0000), Er at (0.0567, 0.5000, 0.4988), Er at (0.1130, 0.0000, 0.4982), Er at (0.2231, 0.0000, 0.4999) and Tm at (0.1672, 0.5000, 0.9988).

Its calculated density is 8.93 Mg/m³. As for the formation energy: 0.074 eV/atom.

***

# Pm3Er2Tm7

Crystalline Pm3Er2Tm7 at its relaxed geometry (PBE, the Alexandria database).

It has space group P2/m (No. 10), with a = 3.5926 Å, b = 5.5200 Å, c = 20.3209 Å, α = 90.00°, β = 95.09° and γ = 90.00°. Symmetry generates all atoms from Pm at (0.0000, 0.0000, 0.0000), Pm at (0.3290, 0.5000, 0.6607), Er at (0.1380, 0.0000, 0.2726), Tm at (0.0859, 0.5000, 0.1699), Tm at (0.2150, 0.0000, 0.4298), Tm at (0.4319, 0.0000, 0.8657) and Tm at (0.5000, 0.5000, 0.0000).

Its calculated density is 8.08 Mg/m³. As for the formation energy: 0.240 eV/atom.

***

# Pm4Er3Tm8

Crystalline Pm4Er3Tm8 at its relaxed geometry (PBE, the Alexandria database).

It has space group R-3m (No. 166, hexagonal axes), with a = 6.8877 Å, b = 6.8877 Å, c = 35.0891 Å, α = 90.00°, β = 90.00° and γ = 120.00°. Symmetry generates all atoms from Pm at (0.0000, 0.0000, 0.0000), Pm at (0.0000, 0.0000, 0.1635), Pm at (0.0000, 0.0000, 0.5000), Er at (0.0000, 0.5000, 0.0000), Tm at (0.0000, 0.0000, 0.2555) and Tm at (0.0021, 0.5011, 0.2511).

Its calculated density is 8.41 Mg/m³. As for the formation energy: 0.125 eV/atom.

***

# Pm2ErTm

Crystalline Pm2ErTm at its relaxed geometry (PBE, the Alexandria database).

It has space group P4/mmm (No. 123), with a = 5.0827 Å, b = 5.0827 Å, c = 4.9898 Å, α = 90.00°, β = 90.00° and γ = 90.00°. Symmetry generates all atoms from Pm at (0.0000, 0.5000, 0.0000), Er at (0.0000, 0.0000, 0.5000) and Tm at (0.5000, 0.5000, 0.5000).

Its calculated density is 8.07 Mg/m³. As for the formation energy: 0.022 eV/atom.

***

# PmEr2Tm3

Crystalline PmEr2Tm3 at its relaxed geometry (PBE, the Alexandria database).

It has space group C2/m (No. 12), with a = 22.7731 Å, b = 3.4785 Å, c = 10.1194 Å, α = 90.00°, β = 108.45° and γ = 90.00°. Symmetry generates all atoms from Pm at (0.1846, 0.0000, 0.0405), Er at (0.0686, 0.5000, 0.1410), Er at (0.1929, 0.0000, 0.3742), Tm at (0.0591, 0.0000, 0.4425), Tm at (0.0682, 0.5000, 0.7622) and Tm at (0.1953, 0.0000, 0.7149).

Its calculated density is 8.62 Mg/m³. As for the formation energy: 0.123 eV/atom.

***

# Pm4Er7Tm

Crystalline Pm4Er7Tm at its relaxed geometry (PBE, the Alexandria database).

It has space group C2/m (No. 12), with a = 12.0559 Å, b = 5.8671 Å, c = 12.7359 Å, α = 90.00°, β = 118.22° and γ = 90.00°. Symmetry generates all atoms from Pm at (0.0545, 0.0000, 0.3369), Pm at (0.1353, 0.5000, 0.7771), Er at (0.0000, 0.0000, 0.0000), Er at (0.1385, 0.5000, 0.5068), Er at (0.2124, 0.0000, 0.9241), Er at (0.2368, 0.5000, 0.3074) and Tm at (0.0000, 0.5000, 0.0000).

Its calculated density is 8.03 Mg/m³. As for the formation energy: 0.281 eV/atom.

***

# Pm2Er2Tm

Crystalline Pm2Er2Tm at its relaxed geometry (PBE, the Alexandria database).

It has space group P-3m1 (No. 164), with a = 3.5671 Å, b = 3.5671 Å, c = 14.4651 Å, α = 90.00°, β = 90.00° and γ = 120.00°. Symmetry generates all atoms from Pm at (0.3333, 0.6667, 0.3955), Er at (0.3333, 0.6667, 0.8053) and Tm at (0.0000, 0.0000, 0.0000).

Its calculated density is 8.27 Mg/m³. As for the formation energy: 0.027 eV/atom.

***

# Pm7Er2Tm2

Crystalline Pm7Er2Tm2 at its relaxed geometry (PBE, the Alexandria database).

It has space group Imm2 (No. 44), with a = 5.6154 Å, b = 16.0221 Å, c = 8.1647 Å, α = 90.00°, β = 90.00° and γ = 90.00°. Symmetry generates all atoms from Pm at (0.0000, 0.0000, 0.0000), Pm at (0.0000, 0.1635, 0.2977), Pm at (0.0000, 0.3650, 0.5023), Pm at (0.0000, 0.3669, 0.0956), Er at (0.0000, 0.2011, 0.7987), Tm at (0.0000, 0.0000, 0.5852) and Tm at (0.0000, 0.5000, 0.7992).

Its calculated density is 7.63 Mg/m³. As for the formation energy: 0.113 eV/atom.

***

# Pm5Er2Tm12

Crystalline Pm5Er2Tm12 at its relaxed geometry (PBE, the Alexandria database).

It has space group P-1 (No. 2), with a = 7.8931 Å, b = 8.6408 Å, c = 9.3465 Å, α = 90.03°, β = 94.81° and γ = 111.33°. Symmetry generates all atoms from Pm at (0.0000, 0.0000, 0.0000), Pm at (0.1587, 0.0523, 0.3679), Pm at (0.2621, 0.4211, 0.9474), Er at (0.4213, 0.4736, 0.3175), Tm at (0.0536, 0.6837, 0.7869), Tm at (0.1049, 0.3697, 0.5788), Tm at (0.2132, 0.7366, 0.1595), Tm at (0.3197, 0.1063, 0.7354), Tm at (0.3672, 0.7883, 0.5269) and Tm at (0.4760, 0.1579, 0.1059).

Its calculated density is 8.67 Mg/m³. As for the formation energy: 0.024 eV/atom.

***

Repeat the fifth record exactly.
# Pm3Er2Tm7

Crystalline Pm3Er2Tm7 at its relaxed geometry (PBE, the Alexandria database).

It has space group P2/m (No. 10), with a = 3.5926 Å, b = 5.5200 Å, c = 20.3209 Å, α = 90.00°, β = 95.09° and γ = 90.00°. Symmetry generates all atoms from Pm at (0.0000, 0.0000, 0.0000), Pm at (0.3290, 0.5000, 0.6607), Er at (0.1380, 0.0000, 0.2726), Tm at (0.0859, 0.5000, 0.1699), Tm at (0.2150, 0.0000, 0.4298), Tm at (0.4319, 0.0000, 0.8657) and Tm at (0.5000, 0.5000, 0.0000).

Its calculated density is 8.08 Mg/m³. As for the formation energy: 0.240 eV/atom.

***

Q: The highest calculated density belongs to which entry?
A: PmEr6Tm2

***

Q: What is the calculated density in the fourth record?
A: 8.93 Mg/m³